Record 1
An optimized crystal structure of K2Ca2Ge, computed with PBE-GGA.

The calculation puts the formation energy at -39.2 meV per atom.

The space group is P4/mbm (No. 127) and the conventional cell measures 8.0031, 8.0031 and 6.9623 Å, with angles of 90.00, 90.00 and 90.00 degrees. The inequivalent atoms are K at (0.1837, 0.3163, 0.0000), Ca at (0.1735, 0.6735, 0.5000) and Ge at (0.0000, 0.0000, 0.5000).

***

Record 2
An optimized crystal structure of Li2BeIrSe, computed with PBE-GGA.

The calculation puts the raw formation energy at 2.4 eV/f.u.

The space group is P4/mmm (No. 123) and the conventional cell measures 5.0138, 5.0138 and 4.5235 Å, with angles of 90.00, 90.00 and 90.00 degrees. The inequivalent atoms are Li at (0.0000, 0.5000, 0.0000), Be at (0.0000, 0.0000, 0.5000), Ir at (0.5000, 0.5000, 0.0000) and Se at (0.5000, 0.5000, 0.5000).

***

Record 3
An optimized crystal structure of PrGaCuPt3, computed with PBE-GGA.

The calculation puts the formation energy at -546.7 meV per atom.

The space group is Cmcm (No. 63) and the conventional cell measures 6.7283, 11.9280 and 5.7373 Å, with angles of 90.00, 90.00 and 90.00 degrees. The inequivalent atoms are Pr at (0.0000, 0.2122, 0.2500), Ga at (0.0000, 0.1310, 0.7500), Cu at (0.0000, 0.4490, 0.2500), Pt at (0.0000, 0.3338, 0.7500) and Pt at (0.2093, 0.0000, 0.0000).

***

Sequential total magnetization output: 0.00, 0.00, 0.00 μB per atom